1.
Below is a geometry-optimized MgPO3 structure, with properties calculated at the PBE-GGA level.

D(E_F) in states/eV per cell: 0.000
Electronic total energy in Ry per atom: -0.482
E_form (uncorrected) in eV per atom: -2.188

abc: 5.0511 5.0511 17.5747
angles: 90.00 90.00 120.00
Space group R-3 (No. 148, hexagonal axes)
One atom of each set of equivalent atoms:
Mg: 0.0000 0.0000 0.1639 [6 per cell]
P: 0.0000 0.0000 0.4419 [6 per cell]
O: 0.0024 0.3058 0.4263 [18 per cell]

=====

2.
Below is a geometry-optimized MgPO3 structure, with properties calculated at the PBE-GGA level.

D(E_F) in states/eV per cell: 3.764
Electronic total energy in Ry per atom: -0.475
E_form (uncorrected) in eV per atom: -2.093

abc: 3.3164 16.9546 4.7658
angles: 90.00 90.00 90.00
Space group Ama2 (No. 40)
One atom of each set of equivalent atoms:
Mg: 0.2500 0.1833 0.0000 [4 per cell]
P: 0.2500 0.3759 0.9486 [4 per cell]
O: 0.2500 0.0958 0.3610 [4 per cell]
O: 0.2500 0.2904 0.7892 [4 per cell]
O: 0.2500 0.3571 0.2713 [4 per cell]